1.
! Al2TeRh2 (PBE, relaxed); values from VASP
&SYSTEM
  ibrav = 0, nat = 10, ntyp = 3
/
ATOMIC_SPECIES
Te 127.60 Te.upf
Rh 102.91 Rh.upf
Al 26.98 Al.upf
ATOMIC_POSITIONS crystal
Te 0.000 0.000 0.000
Te 0.500 0.500 0.000
Rh 0.348 0.848 0.000
Rh 0.848 0.652 0.000
Rh 0.652 0.152 0.000
Rh 0.152 0.348 0.000
Al 0.139 0.639 0.500
Al 0.639 0.861 0.500
Al 0.861 0.361 0.500
Al 0.361 0.139 0.500
CELL_PARAMETERS angstrom
-5.011 5.457 -0.475
-5.322 -4.698 2.169
0.517 0.721 2.830
! Formation energy without anion corrections = -579.8 meV/atom
! DOS at the Fermi energy = 1.5 states/eV per cell
! Total moment = 0.000 μB/atom
! Energy above the lowest structure with this stoichiometry = 0 meV/atom



2.
! CeDyGePt (PBE, relaxed); values from VASP
&SYSTEM
  ibrav = 0, nat = 8, ntyp = 4
/
ATOMIC_SPECIES
Ce 140.12 Ce.upf
Dy 162.50 Dy.upf
Ge 72.64 Ge.upf
Pt 195.08 Pt.upf
ATOMIC_POSITIONS crystal
Ce 0.000 0.500 0.838
Ce 0.500 0.000 0.162
Dy 0.000 0.000 0.500
Dy 0.500 0.500 0.500
Ge 0.500 0.000 0.890
Ge 0.000 0.500 0.110
Pt 0.000 0.500 0.342
Pt 0.500 0.000 0.658
CELL_PARAMETERS angstrom
4.556 0.000 0.000
0.000 4.556 0.000
0.000 0.000 10.436
! DOS at the Fermi energy = 18.0 states/eV per cell
! Total moment = 0.234 μB/atom
! Energy above the lowest structure with this stoichiometry = 168 meV/atom



3.
! ScTaBeNb2 (PBE, relaxed); values from VASP
&SYSTEM
  ibrav = 0, nat = 5, ntyp = 4
/
ATOMIC_SPECIES
Sc 44.96 Sc.upf
Be 9.01 Be.upf
Nb 92.91 Nb.upf
Ta 180.95 Ta.upf
ATOMIC_POSITIONS crystal
Sc 0.000 0.500 0.000
Be 0.000 0.000 0.000
Nb 0.000 0.000 0.500
Nb 0.500 0.000 0.000
Ta 0.500 0.500 0.500
CELL_PARAMETERS angstrom
-2.722 -2.620 -2.455
3.565 -2.534 -1.249
-0.648 -2.672 3.569
! DOS at the Fermi energy = 6.1 states/eV per cell
! Total moment = 0.000 μB/atom
! Electronic total energy = -7.797 eV/atom



4.
! BeCoSi2Sn (PBE, relaxed); values from VASP
&SYSTEM
  ibrav = 0, nat = 5, ntyp = 4
/
ATOMIC_SPECIES
Be 9.01 Be.upf
Si 28.09 Si.upf
Co 58.93 Co.upf
Sn 118.71 Sn.upf
ATOMIC_POSITIONS crystal
Be 0.000 0.500 0.000
Si 0.000 0.000 0.500
Si 0.500 0.000 0.000
Co 0.000 0.000 0.000
Sn 0.500 0.500 0.500
CELL_PARAMETERS angstrom
-2.066 -0.563 -3.809
3.803 -0.123 -2.045
0.158 -4.331 0.555
! Formation energy without anion corrections = 320.5 meV/atom
! DOS at the Fermi energy = 2.3 states/eV per cell
! Total moment = 0.000 μB/atom



5.
! CuAs2Se (PBE, relaxed); values from VASP
&SYSTEM
  ibrav = 0, nat = 4, ntyp = 3
/
ATOMIC_SPECIES
As 74.92 As.upf
Cu 63.55 Cu.upf
Se 78.96 Se.upf
ATOMIC_POSITIONS crystal
As 0.000 0.000 0.000
As 0.000 0.500 0.500
Cu 0.500 0.500 0.000
Se 0.500 0.000 0.500
CELL_PARAMETERS angstrom
5.389 0.000 0.000
0.000 3.740 0.000
0.000 0.000 3.740
! Formation energy without anion corrections = 404.2 meV/atom
! DOS at the Fermi energy = 2.3 states/eV per cell
! Total moment = 0.000 μB/atom



6.
! CsRuRh3 (PBE, relaxed); values from VASP
&SYSTEM
  ibrav = 0, nat = 5, ntyp = 3
/
ATOMIC_SPECIES
Cs 132.91 Cs.upf
Ru 101.07 Ru.upf
Rh 102.91 Rh.upf
ATOMIC_POSITIONS crystal
Cs 0.500 0.500 0.500
Ru 0.000 0.000 0.000
Rh 0.000 0.500 0.000
Rh 0.000 0.000 0.500
Rh 0.500 0.000 0.000
CELL_PARAMETERS angstrom
4.843 0.000 0.000
0.000 4.843 0.000
0.000 0.000 4.843
! DOS at the Fermi energy = 5.2 states/eV per cell
! Total moment = 0.000 μB/atom
! Energy above the lowest structure with this stoichiometry = 0 meV/atom



7.
! Hf6CdN (PBE, relaxed); values from VASP
&SYSTEM
  ibrav = 0, nat = 8, ntyp = 3
/
ATOMIC_SPECIES
Hf 178.49 Hf.upf
Cd 112.41 Cd.upf
N 14.01 N.upf
ATOMIC_POSITIONS crystal
Hf 0.078 0.345 0.778
Hf 0.778 0.922 0.655
Hf 0.655 0.223 0.078
Hf 0.222 0.078 0.345
Hf 0.922 0.655 0.222
Hf 0.345 0.777 0.922
Cd 0.500 0.500 0.500
N 0.000 0.000 0.000
CELL_PARAMETERS angstrom
-4.884 0.004 -2.541
0.736 -4.171 -3.526
-0.692 -4.274 3.406
! Formation energy without anion corrections = -420.2 meV/atom
! DOS at the Fermi energy = 8.0 states/eV per cell
! Total moment = 0.000 μB/atom



8.
! AcB2O4 (PBE, relaxed); values from VASP
&SYSTEM
  ibrav = 0, nat = 7, ntyp = 3
/
ATOMIC_SPECIES
Ac 227.00 Ac.upf
B 10.81 B.upf
O 16.00 O.upf
ATOMIC_POSITIONS crystal
Ac 0.000 0.000 0.000
B 0.500 0.500 0.000
B 0.500 0.000 0.500
O 0.639 0.750 0.250
O 0.361 0.250 0.250
O 0.639 0.250 0.750
O 0.361 0.750 0.750
CELL_PARAMETERS angstrom
5.976 0.000 0.000
0.000 3.612 0.000
0.000 0.000 3.612
! Formation energy without anion corrections = -2234.3 meV/atom
! DOS at the Fermi energy = 1.2 states/eV per cell
! Total moment = 0.000 μB/atom
! Energy above the lowest structure with this stoichiometry = 28 meV/atom



9.
! TbAlAgPt (PBE, relaxed); values from VASP
&SYSTEM
  ibrav = 0, nat = 4, ntyp = 4
/
ATOMIC_SPECIES
Tb 158.93 Tb.upf
Ag 107.87 Ag.upf
Pt 195.08 Pt.upf
Al 26.98 Al.upf
ATOMIC_POSITIONS crystal
Tb 0.000 0.000 0.000
Ag 0.250 0.250 0.250
Pt 0.750 0.750 0.750
Al 0.500 0.500 0.500
CELL_PARAMETERS angstrom
4.768 0.000 0.000
2.384 4.129 0.000
2.384 1.376 3.893
! DOS at the Fermi energy = 2.3 states/eV per cell
! Total moment = 0.000 μB/atom
! Electronic total energy = -4.986 eV/atom



10.
! CaBe3Rh (PBE, relaxed); values from VASP
&SYSTEM
  ibrav = 0, nat = 5, ntyp = 3
/
ATOMIC_SPECIES
Be 9.01 Be.upf
Ca 40.08 Ca.upf
Rh 102.91 Rh.upf
ATOMIC_POSITIONS crystal
Be 0.000 0.500 0.000
Be 0.000 0.000 0.500
Be 0.500 0.000 0.000
Ca 0.500 0.500 0.500
Rh 0.000 0.000 0.000
CELL_PARAMETERS angstrom
-0.911 -1.484 3.928
2.779 -3.226 -0.574
3.148 2.418 1.644
! DOS at the Fermi energy = 2.0 states/eV per cell
! Total moment = 0.000 μB/atom
! Energy above the lowest structure with this stoichiometry = 0 meV/atom



11.
! Sm3Si6AgPt2 (PBE, relaxed); values from VASP
&SYSTEM
  ibrav = 0, nat = 12, ntyp = 4
/
ATOMIC_SPECIES
Sm 150.36 Sm.upf
Si 28.09 Si.upf
Ag 107.87 Ag.upf
Pt 195.08 Pt.upf
ATOMIC_POSITIONS crystal
Sm 0.333 0.667 0.625
Sm 0.667 0.333 0.375
Sm 0.000 0.000 0.000
Si 0.611 0.805 0.279
Si 0.195 0.389 0.279
Si 0.195 0.805 0.279
Si 0.805 0.611 0.721
Si 0.389 0.195 0.721
Si 0.805 0.195 0.721
Ag 0.000 0.000 0.500
Pt 0.667 0.333 0.972
Pt 0.333 0.667 0.028
CELL_PARAMETERS angstrom
-3.618 -4.490 0.780
3.990 1.258 4.043
-5.325 4.937 3.719
! Formation energy without anion corrections = -384.3 meV/atom
! DOS at the Fermi energy = 4.6 states/eV per cell
! Total moment = 0.000 μB/atom



12.
! InPRh2 (PBE, relaxed); values from VASP
&SYSTEM
  ibrav = 0, nat = 4, ntyp = 3
/
ATOMIC_SPECIES
P 30.97 P.upf
Rh 102.91 Rh.upf
In 114.82 In.upf
ATOMIC_POSITIONS crystal
P 0.000 0.000 0.000
Rh 0.250 0.250 0.250
Rh 0.750 0.750 0.750
In 0.500 0.500 0.500
CELL_PARAMETERS angstrom
-2.952 -3.256 -0.597
-3.462 0.614 -2.704
-0.189 -2.138 -3.882
! DOS at the Fermi energy = 5.8 states/eV per cell
! Total moment = 0.000 μB/atom
! Electronic total energy = -5.802 eV/atom



13.
! LaAsSe2Br (PBE, relaxed); values from VASP
&SYSTEM
  ibrav = 0, nat = 5, ntyp = 4
/
ATOMIC_SPECIES
As 74.92 As.upf
Se 78.96 Se.upf
Br 79.90 Br.upf
La 138.91 La.upf
ATOMIC_POSITIONS crystal
As 0.000 0.000 0.000
Se 0.000 0.500 0.000
Se 0.500 0.000 0.000
Br 0.000 0.000 0.500
La 0.500 0.500 0.500
CELL_PARAMETERS angstrom
-4.360 2.499 1.402
-1.304 -4.003 3.081
2.469 2.153 3.841
! Formation energy without anion corrections = -640.4 meV/atom
! DOS at the Fermi energy = 5.4 states/eV per cell
! Total moment = 0.043 μB/atom
! Energy above the lowest structure with this stoichiometry = 0 meV/atom



14.
! Cr2Co (PBE, relaxed); values from VASP
&SYSTEM
  ibrav = 0, nat = 9, ntyp = 2
/
ATOMIC_SPECIES
Cr 52.00 Cr.upf
Co 58.93 Co.upf
ATOMIC_POSITIONS crystal
Cr 0.000 0.257 0.000
Cr 0.000 0.579 0.500
Cr 0.257 0.000 0.000
Cr 0.743 0.743 0.000
Cr 0.579 0.000 0.500
Cr 0.421 0.421 0.500
Co 0.000 0.000 0.500
Co 0.333 0.667 0.000
Co 0.667 0.333 0.000
CELL_PARAMETERS angstrom
2.954 -5.117 0.000
2.954 5.117 0.000
0.000 0.000 3.570
! DOS at the Fermi energy = 12.0 states/eV per cell
! Total moment = 0.389 μB/atom
! Electronic total energy = -8.413 eV/atom



15.
! Ba3In (PBE, relaxed); values from VASP
&SYSTEM
  ibrav = 0, nat = 4, ntyp = 2
/
ATOMIC_SPECIES
Ba 137.33 Ba.upf
In 114.82 In.upf
ATOMIC_POSITIONS crystal
Ba 0.000 0.500 0.500
Ba 0.500 0.000 0.500
Ba 0.500 0.500 0.000
In 0.000 0.000 0.000
CELL_PARAMETERS angstrom
-2.266 0.208 5.208
-0.176 -5.679 0.147
5.211 -0.102 2.271
! DOS at the Fermi energy = 6.7 states/eV per cell
! Total moment = 0.000 μB/atom
! Electronic total energy = -2.263 eV/atom



16.
! NbCdAsBr2 (PBE, relaxed); values from VASP
&SYSTEM
  ibrav = 0, nat = 5, ntyp = 4
/
ATOMIC_SPECIES
Nb 92.91 Nb.upf
As 74.92 As.upf
Br 79.90 Br.upf
Cd 112.41 Cd.upf
ATOMIC_POSITIONS crystal
Nb 0.000 0.000 0.000
As 0.000 0.000 0.500
Br 0.000 0.500 0.000
Br 0.500 0.000 0.000
Cd 0.500 0.500 0.500
CELL_PARAMETERS angstrom
-1.214 -5.058 0.360
3.890 -1.166 -3.270
3.201 -0.485 3.981
! Formation energy without anion corrections = -59.1 meV/atom
! DOS at the Fermi energy = 3.5 states/eV per cell
! Total moment = 0.000 μB/atom
! Energy above the lowest structure with this stoichiometry = 0 meV/atom



17.
! Sc3MoS (PBE, relaxed); values from VASP
&SYSTEM
  ibrav = 0, nat = 5, ntyp = 3
/
ATOMIC_SPECIES
Sc 44.96 Sc.upf
Mo 95.94 Mo.upf
S 32.06 S.upf
ATOMIC_POSITIONS crystal
Sc 0.000 0.500 0.000
Sc 0.000 0.000 0.500
Sc 0.500 0.000 0.000
Mo 0.500 0.500 0.500
S 0.000 0.000 0.000
CELL_PARAMETERS angstrom
-2.882 -0.699 -3.709
-1.062 -4.329 1.640
-3.622 1.825 2.471
! Formation energy without anion corrections = -196.0 meV/atom
! DOS at the Fermi energy = 8.7 states/eV per cell
! Total moment = 0.000 μB/atom
! Energy above the lowest structure with this stoichiometry = 0 meV/atom



18.
! RhPbS (PBE, relaxed); values from VASP
&SYSTEM
  ibrav = 0, nat = 12, ntyp = 3
/
ATOMIC_SPECIES
Rh 102.91 Rh.upf
Pb 207.20 Pb.upf
S 32.06 S.upf
ATOMIC_POSITIONS crystal
Rh 0.020 0.957 0.554
Rh 0.216 0.653 0.946
Rh 0.403 0.466 0.446
Rh 0.707 0.270 0.054
Pb 0.723 0.908 0.177
Pb 0.296 0.981 0.323
Pb 0.658 0.973 0.677
Pb 0.731 0.546 0.823
S 0.160 0.379 0.639
S 0.129 0.410 0.139
S 0.271 0.991 0.861
S 0.741 0.521 0.361
CELL_PARAMETERS angstrom
6.418 -0.060 -1.730
-3.486 5.389 -1.730
0.071 0.128 7.335
! Formation energy without anion corrections = -197.5 meV/atom
! DOS at the Fermi energy = 7.2 states/eV per cell
! Total moment = 0.000 μB/atom
! Energy above the lowest structure with this stoichiometry = 100 meV/atom



19.
! CrNi2Pb (PBE, relaxed); values from VASP
&SYSTEM
  ibrav = 0, nat = 4, ntyp = 3
/
ATOMIC_SPECIES
Cr 52.00 Cr.upf
Ni 58.69 Ni.upf
Pb 207.20 Pb.upf
ATOMIC_POSITIONS crystal
Cr 0.725 0.725 0.725
Ni 0.948 0.948 0.948
Ni 0.313 0.313 0.313
Pb 0.515 0.515 0.515
CELL_PARAMETERS angstrom
-3.004 4.010 0.201
-4.120 0.928 2.704
-0.888 3.300 3.670
! DOS at the Fermi energy = 4.4 states/eV per cell
! Total moment = 0.946 μB/atom
! Electronic total energy = -5.864 eV/atom



20.
! Rb2As2PbS6 (PBE, relaxed); values from VASP
&SYSTEM
  ibrav = 0, nat = 11, ntyp = 4
/
ATOMIC_SPECIES
Rb 85.47 Rb.upf
As 74.92 As.upf
Pb 207.20 Pb.upf
S 32.06 S.upf
ATOMIC_POSITIONS crystal
Rb 0.713 0.426 0.217
Rb 0.287 0.574 0.783
As 0.969 0.939 0.828
As 0.031 0.061 0.172
Pb 0.500 0.000 0.500
S 0.769 0.537 0.655
S 0.195 0.887 0.193
S 0.308 0.113 0.807
S 0.805 0.113 0.807
S 0.692 0.887 0.193
S 0.231 0.463 0.345
CELL_PARAMETERS angstrom
7.243 0.000 0.000
-3.622 6.289 -0.326
0.000 -4.020 7.540
! Formation energy without anion corrections = -505.8 meV/atom
! DOS at the Fermi energy = 0.0 states/eV per cell
! Total moment = 0.000 μB/atom